[1]
VASP calculation (PBE) on Fe2Hg after structural relaxation.

Cell lengths 6.1380, 6.1380, 6.1380 Å; angles 90.00, 90.00, 90.00 degrees
Sites, in units of the cell vectors:
Fe: 0.1063 0.1063 0.1063
Fe: 0.1063 0.3937 0.6063
Fe: 0.3937 0.6063 0.1063
Fe: 0.3937 0.8937 0.6063
Fe: 0.6063 0.1063 0.3937
Fe: 0.6063 0.3937 0.8937
Fe: 0.8937 0.6063 0.3937
Fe: 0.8937 0.8937 0.8937
Hg: 0.0000 0.0000 0.5000
Hg: 0.0000 0.5000 0.0000
Hg: 0.5000 0.0000 0.0000
Hg: 0.5000 0.5000 0.5000

Computed properties:
DOS at the Fermi energy, states/eV/f.u.: 3.84
E_form, eV/f.u.: 3.29

=====

[2]
VASP calculation (PBE) on FeHg2 after structural relaxation.

Cell lengths 8.7191, 8.7191, 4.5289 Å; angles 90.00, 90.00, 160.14 degrees
Sites, in units of the cell vectors:
Fe: 0.0449 0.9551 0.7500
Fe: 0.9551 0.0449 0.2500
Hg: 0.2974 0.7026 0.2500
Hg: 0.4099 0.5901 0.7500
Hg: 0.5901 0.4099 0.2500
Hg: 0.7026 0.2974 0.7500

Computed properties:
DOS at the Fermi energy, states/eV/f.u.: 1.71
E_form, eV/f.u.: 1.08

=====

[3]
VASP calculation (PBE) on Fe2Hg after structural relaxation.

Cell lengths 4.3330, 4.3330, 2.7489 Å; angles 90.00, 90.00, 120.00 degrees
Sites, in units of the cell vectors:
Fe: 0.3333 0.6667 0.0000
Fe: 0.6667 0.3333 0.0000
Hg: 0.0000 0.0000 0.5000

Computed properties:
DOS at the Fermi energy, states/eV/f.u.: 1.38
E_form, eV/f.u.: 1.29

=====

[4]
VASP calculation (PBE) on Fe8Hg after structural relaxation.

Cell lengths 6.3479, 6.3479, 6.3479 Å; angles 93.26, 93.26, 152.39 degrees
Sites, in units of the cell vectors:
Fe: 0.0000 0.3379 0.3379
Fe: 0.0000 0.6620 0.6620
Fe: 0.3221 0.3221 0.6442
Fe: 0.3221 0.6779 0.0000
Fe: 0.3379 0.0000 0.3379
Fe: 0.6620 0.0000 0.6620
Fe: 0.6779 0.3221 0.0000
Fe: 0.6779 0.6779 0.3558
Hg: 0.0000 0.0000 0.0000

Computed properties:
DOS at the Fermi energy, states/eV/f.u.: 6.97
E_form, eV/f.u.: 1.53

=====

[5]
VASP calculation (PBE) on FeHg2 after structural relaxation.

Cell lengths 5.3706, 5.3706, 7.9342 Å; angles 95.53, 95.53, 32.55 degrees
Sites, in units of the cell vectors:
Fe: 0.0000 0.0000 0.0000
Fe: 0.6178 0.6178 0.1887
Hg: 0.1200 0.1200 0.4820
Hg: 0.3517 0.3517 0.2218
Hg: 0.4161 0.4161 0.6890
Hg: 0.7054 0.7054 0.8697

Computed properties:
DOS at the Fermi energy, states/eV/f.u.: 1.51
E_form, eV/f.u.: 1.00

=====

[6]
VASP calculation (PBE) on FeHg2 after structural relaxation.

Cell lengths 4.5219, 4.5219, 4.5219 Å; angles 60.00, 60.00, 60.00 degrees
Sites, in units of the cell vectors:
Fe: 0.0000 0.0000 0.0000
Hg: 0.2500 0.2500 0.2500
Hg: 0.7500 0.7500 0.7500

Computed properties:
DOS at the Fermi energy, states/eV/f.u.: 2.05
E_form, eV/f.u.: 1.55

=====

[7]
VASP calculation (PBE) on Fe5Hg4 after structural relaxation.

Cell lengths 7.9091, 7.9091, 5.5010 Å; angles 90.00, 90.00, 120.00 degrees
Sites, in units of the cell vectors:
Fe: 0.0000 0.3292 0.2500
Fe: 0.0000 0.6708 0.7500
Fe: 0.3292 0.0000 0.2500
Fe: 0.3292 0.3292 0.7500
Fe: 0.3333 0.6667 0.0000
Fe: 0.3333 0.6667 0.5000
Fe: 0.6667 0.3333 0.0000
Fe: 0.6667 0.3333 0.5000
Fe: 0.6708 0.0000 0.7500
Fe: 0.6708 0.6708 0.2500
Hg: 0.0000 0.0000 0.0000
Hg: 0.0000 0.0000 0.5000
Hg: 0.0000 0.3508 0.7500
Hg: 0.0000 0.6492 0.2500
Hg: 0.3508 0.0000 0.7500
Hg: 0.3508 0.3508 0.2500
Hg: 0.6492 0.0000 0.2500
Hg: 0.6492 0.6492 0.7500

Computed properties:
Distance to the lowest polymorph of the same formula, meV/atom: 155
DOS at the Fermi energy, states/eV/f.u.: 7.65
E_form, eV/f.u.: 4.87

=====

[8]
VASP calculation (PBE) on FeHg2 after structural relaxation.

Cell lengths 5.3397, 5.3397, 4.6411 Å; angles 90.00, 90.00, 120.00 degrees
Sites, in units of the cell vectors:
Fe: 0.3333 0.6667 0.0000
Fe: 0.6667 0.3333 0.0000
Hg: 0.0000 0.0000 0.0000
Hg: 0.0000 0.3621 0.5000
Hg: 0.3621 0.0000 0.5000
Hg: 0.6379 0.6379 0.5000

Computed properties:
DOS at the Fermi energy, states/eV/f.u.: 3.91
E_form, eV/f.u.: 1.46

=====

[9]
VASP calculation (PBE) on FeHg5 after structural relaxation.

Cell lengths 6.0399, 6.0399, 4.3691 Å; angles 90.00, 90.00, 120.00 degrees
Sites, in units of the cell vectors:
Fe: 0.0000 0.0000 0.0000
Hg: 0.0000 0.7006 0.5000
Hg: 0.2994 0.2994 0.5000
Hg: 0.3333 0.6667 0.0000
Hg: 0.6667 0.3333 0.0000
Hg: 0.7006 0.0000 0.5000

Computed properties:
DOS at the Fermi energy, states/eV/f.u.: 5.58
E_form, eV/f.u.: 2.12

=====

[10]
VASP calculation (PBE) on Fe2Hg after structural relaxation.

Cell lengths 2.9254, 2.9254, 12.9330 Å; angles 90.00, 90.00, 120.00 degrees
Sites, in units of the cell vectors:
Fe: 0.3333 0.6667 0.0720
Fe: 0.3333 0.6667 0.7940
Fe: 0.6667 0.3333 0.2060
Fe: 0.6667 0.3333 0.9280
Hg: 0.3333 0.6667 0.3879
Hg: 0.6667 0.3333 0.6121

Computed properties:
DOS at the Fermi energy, states/eV/f.u.: 2.35
E_form, eV/f.u.: 1.26

=====

[11]
VASP calculation (PBE) on FeHg2 after structural relaxation.

Cell lengths 3.1070, 3.1070, 7.0040 Å; angles 90.00, 90.00, 120.00 degrees
Sites, in units of the cell vectors:
Fe: 0.0000 0.0000 0.0000
Hg: 0.3333 0.6667 0.6915
Hg: 0.6667 0.3333 0.3085

Computed properties:
DOS at the Fermi energy, states/eV/f.u.: 3.10
E_form, eV/f.u.: 1.36

=====

[12]
VASP calculation (PBE) on Fe4Hg after structural relaxation.

Cell lengths 4.9985, 4.9985, 4.9985 Å; angles 50.07, 50.07, 50.07 degrees
Sites, in units of the cell vectors:
Fe: 0.0889 0.0889 0.0889
Fe: 0.2950 0.2950 0.2950
Fe: 0.7050 0.7050 0.7050
Fe: 0.9111 0.9111 0.9111
Hg: 0.5000 0.5000 0.5000

Computed properties:
Distance to the lowest polymorph of the same formula, meV/atom: 71
DOS at the Fermi energy, states/eV/f.u.: 5.03
E_form, eV/f.u.: 1.47

=====

[13]
VASP calculation (PBE) on Fe2Hg3 after structural relaxation.

Cell lengths 8.4826, 8.4826, 8.4826 Å; angles 159.51, 154.34, 33.06 degrees
Sites, in units of the cell vectors:
Fe: 0.0813 0.0813 0.0000
Fe: 0.9187 0.9187 0.0000
Hg: 0.3131 0.3131 0.0000
Hg: 0.5000 0.5000 0.0000
Hg: 0.6869 0.6869 0.0000

Computed properties:
Distance to the lowest polymorph of the same formula, meV/atom: 189
DOS at the Fermi energy, states/eV/f.u.: 4.06
E_form, eV/f.u.: 2.39

=====

[14]
VASP calculation (PBE) on Fe4Hg after structural relaxation.

Cell lengths 10.3674, 10.2732, 2.6822 Å; angles 84.53, 80.54, 14.92 degrees
Sites, in units of the cell vectors:
Fe: 0.1149 0.1149 0.8851
Fe: 0.2959 0.2959 0.7041
Fe: 0.7041 0.7041 0.2959
Fe: 0.8851 0.8851 0.1149
Hg: 0.5000 0.5000 0.5000

Computed properties:
Distance to the lowest polymorph of the same formula, meV/atom: 90
DOS at the Fermi energy, states/eV/f.u.: 4.09
E_form, eV/f.u.: 1.56

=====

[15]
VASP calculation (PBE) on Fe2Hg3 after structural relaxation.

Cell lengths 9.8439, 9.8439, 9.8439 Å; angles 161.78, 161.78, 25.87 degrees
Sites, in units of the cell vectors:
Fe: 0.2214 0.2214 0.0000
Fe: 0.7786 0.7786 0.0000
Hg: 0.0000 0.0000 0.0000
Hg: 0.3744 0.3744 0.0000
Hg: 0.6256 0.6256 0.0000

Computed properties:
Distance to the lowest polymorph of the same formula, meV/atom: 0
DOS at the Fermi energy, states/eV/f.u.: 2.88
E_form, eV/f.u.: 1.44

=====

[16]
VASP calculation (PBE) on Ho6FeHg2 after structural relaxation.

Cell lengths 8.3847, 8.3847, 8.3847 Å; angles 144.77, 130.35, 62.34 degrees
Sites, in units of the cell vectors:
Ho: 0.0881 0.3471 0.7410
Ho: 0.2250 0.0000 0.2250
Ho: 0.3939 0.6529 0.7410
Ho: 0.6061 0.3471 0.2590
Ho: 0.7750 0.0000 0.7750
Ho: 0.9119 0.6529 0.2590
Fe: 0.0000 0.5000 0.5000
Hg: 0.3339 0.8339 0.5000
Hg: 0.6661 0.1661 0.5000

Computed properties:
DOS at the Fermi energy, states/eV/f.u.: 10.98
E_form, eV/f.u.: -0.33

=====

[17]
VASP calculation (PBE) on Ho5Fe2Hg2 after structural relaxation.

Cell lengths 8.9990, 8.9990, 7.2751 Å; angles 90.00, 90.00, 47.12 degrees
Sites, in units of the cell vectors:
Ho: 0.0000 0.0000 0.0000
Ho: 0.0595 0.6944 0.6812
Ho: 0.1944 0.5595 0.1812
Ho: 0.3056 0.9405 0.6812
Ho: 0.4405 0.8056 0.1812
Ho: 0.5000 0.5000 0.5000
Ho: 0.5595 0.1944 0.8188
Ho: 0.6944 0.0595 0.3188
Ho: 0.8056 0.4405 0.8188
Ho: 0.9405 0.3056 0.3188
Fe: 0.1042 0.8958 0.3920
Fe: 0.3958 0.6042 0.8920
Fe: 0.6042 0.3958 0.1080
Fe: 0.8958 0.1042 0.6080
Hg: 0.2228 0.2228 0.0000
Hg: 0.2772 0.2772 0.5000
Hg: 0.7228 0.7228 0.5000
Hg: 0.7772 0.7772 0.0000

Computed properties:
DOS at the Fermi energy, states/eV/f.u.: 9.03
E_form, eV/f.u.: -1.98

=====

[18]
VASP calculation (PBE) on Ho6FeHg after structural relaxation.

Cell lengths 6.3798, 6.3798, 6.4630 Å; angles 99.04, 99.04, 110.88 degrees
Sites, in units of the cell vectors:
Ho: 0.0052 0.6451 0.7530
Ho: 0.2588 0.2588 0.8083
Ho: 0.3549 0.9948 0.2470
Ho: 0.6451 0.0052 0.7530
Ho: 0.7412 0.7412 0.1917
Ho: 0.9948 0.3549 0.2470
Fe: 0.0000 0.0000 0.0000
Hg: 0.5000 0.5000 0.5000

Computed properties:
DOS at the Fermi energy, states/eV/f.u.: 10.16
E_form, eV/f.u.: 0.28

=====

[19]
VASP calculation (PBE) on Ho2FeHg after structural relaxation.

Cell lengths 3.4415, 3.4415, 7.4992 Å; angles 90.00, 90.00, 90.00 degrees
Sites, in units of the cell vectors:
Ho: 0.0000 0.0000 0.2168
Ho: 0.0000 0.0000 0.7832
Fe: 0.5000 0.5000 0.0000
Hg: 0.5000 0.5000 0.5000

Computed properties:
Distance to the lowest polymorph of the same formula, meV/atom: 0
DOS at the Fermi energy, states/eV/f.u.: 4.65
E_form, eV/f.u.: -0.80

=====

[20]
VASP calculation (PBE) on Ho2FeHg after structural relaxation.

Cell lengths 9.8511, 9.8511, 9.8511 Å; angles 21.39, 21.39, 21.39 degrees
Sites, in units of the cell vectors:
Ho: 0.1111 0.1111 0.1111
Ho: 0.8889 0.8889 0.8889
Fe: 0.5000 0.5000 0.5000
Hg: 0.0000 0.0000 0.0000

Computed properties:
Distance to the lowest polymorph of the same formula, meV/atom: 388
DOS at the Fermi energy, states/eV/f.u.: 2.88
E_form, eV/f.u.: 0.75

=====

[21]
VASP calculation (PBE) on Ho2FeHg after structural relaxation.

Cell lengths 5.0345, 5.0345, 5.0345 Å; angles 60.00, 60.00, 60.00 degrees
Sites, in units of the cell vectors:
Ho: 0.2500 0.2500 0.2500
Ho: 0.7500 0.7500 0.7500
Fe: 0.0000 0.0000 0.0000
Hg: 0.5000 0.5000 0.5000

Computed properties:
Distance to the lowest polymorph of the same formula, meV/atom: 103
DOS at the Fermi energy, states/eV/f.u.: 7.42
E_form, eV/f.u.: -0.39

=====

[22]
VASP calculation (PBE) on Ho3FeHg after structural relaxation.

Cell lengths 8.4518, 3.6908, 8.5696 Å; angles 90.00, 110.20, 90.00 degrees
Sites, in units of the cell vectors:
Ho: 0.0596 0.2500 0.2265
Ho: 0.3126 0.2500 0.9166
Ho: 0.3258 0.7500 0.5774
Ho: 0.6742 0.2500 0.4226
Ho: 0.6874 0.7500 0.0834
Ho: 0.9404 0.7500 0.7735
Fe: 0.0589 0.2500 0.5773
Fe: 0.9411 0.7500 0.4227
Hg: 0.3627 0.7500 0.2192
Hg: 0.6373 0.2500 0.7808

Computed properties:
DOS at the Fermi energy, states/eV/f.u.: 4.86
E_form, eV/f.u.: -1.06

=====

[23]
VASP calculation (PBE) on Ho8FeHg2 after structural relaxation.

Cell lengths 9.0499, 9.0499, 6.7948 Å; angles 108.38, 108.38, 33.92 degrees
Sites, in units of the cell vectors:
Ho: 0.0216 0.0216 0.2888
Ho: 0.1985 0.1985 0.7916
Ho: 0.3504 0.3504 0.5483
Ho: 0.4105 0.4105 0.0823
Ho: 0.5895 0.5895 0.9177
Ho: 0.6496 0.6496 0.4517
Ho: 0.8015 0.8015 0.2084
Ho: 0.9784 0.9784 0.7112
Fe: 0.5000 0.5000 0.5000
Hg: 0.1839 0.1839 0.2129
Hg: 0.8161 0.8161 0.7871

Computed properties:
DOS at the Fermi energy, states/eV/f.u.: 8.20
E_form, eV/f.u.: -1.78

=====

[24]
VASP calculation (PBE) on HoFeHg after structural relaxation.

Cell lengths 6.8358, 6.8358, 5.0280 Å; angles 102.06, 102.06, 32.52 degrees
Sites, in units of the cell vectors:
Ho: 0.1341 0.1341 0.3301
Ho: 0.8659 0.8659 0.6699
Fe: 0.2322 0.2322 0.9049
Fe: 0.7678 0.7678 0.0951
Hg: 0.4288 0.4288 0.2153
Hg: 0.5712 0.5712 0.7847

Computed properties:
DOS at the Fermi energy, states/eV/f.u.: 2.95
E_form, eV/f.u.: -0.33

=====

[25]
VASP calculation (PBE) on TbHoFeHg after structural relaxation.

Cell lengths 5.0575, 5.0575, 5.0575 Å; angles 60.00, 60.00, 60.00 degrees
Sites, in units of the cell vectors:
Tb: 0.0000 0.0000 0.0000
Ho: 0.5000 0.5000 0.5000
Fe: 0.7500 0.7500 0.7500
Hg: 0.2500 0.2500 0.2500

Computed properties:
DOS at the Fermi energy, states/eV/f.u.: 7.09
E_form, eV/f.u.: -0.36